MgZrTl2 PBE-GGA relaxed; calculated formation energy = 0.129 eV/f.u.; calculated density = 9.284 g/cm³; final energy = -3.687 eV per atom; DOS at the Fermi energy = 0.655 states/eV per atom
1.0
3.3164 0.0000 0.0000
0.0000 3.3164 0.0000
0.0000 0.0000 8.5258
Mg Zr Tl
1 1 2
direct
0.0000 0.0000 0.0000 Mg
0.0000 0.0000 0.5000 Zr
0.5000 0.5000 0.2470 Tl
0.5000 0.5000 0.7530 Tl

Pu2CoOs PBE-GGA relaxed; calculated formation energy = 0.163 eV/f.u.; calculated density = 16.344 g/cm³; final energy = -11.709 eV per atom; DOS at the Fermi energy = 2.966 states/eV per atom
1.0
3.2891 0.0000 0.0000
0.0000 3.2891 0.0000
0.0000 0.0000 6.9229
Pu Co Os
2 1 1
direct
0.0000 0.0000 0.2427 Pu
0.0000 0.0000 0.7573 Pu
0.5000 0.5000 0.0000 Co
0.5000 0.5000 0.5000 Os

BeTlCu2 PBE-GGA relaxed; E above lowest polymorph = 263 meV/atom; calculated formation energy = 2.046 eV/f.u.; calculated density = 7.905 g/cm³; final energy = -3.060 eV per atom; DOS at the Fermi energy = 0.525 states/eV per atom
1.0
4.2906 0.0000 0.0000
0.0000 4.2906 0.0000
0.0000 0.0000 15.5407
Be Tl Cu
4 4 8
direct
0.0000 0.0000 0.0000 Be
0.0000 0.5000 0.2500 Be
0.5000 0.0000 0.7500 Be
0.5000 0.5000 0.5000 Be
0.0000 0.0000 0.5000 Tl
0.0000 0.5000 0.7500 Tl
0.5000 0.0000 0.2500 Tl
0.5000 0.5000 0.0000 Tl
0.1108 0.2500 0.1250 Cu
0.2500 0.6108 0.3750 Cu
0.2500 0.8892 0.8750 Cu
0.3892 0.2500 0.6250 Cu
0.6108 0.7500 0.6250 Cu
0.7500 0.1108 0.8750 Cu
0.7500 0.3892 0.3750 Cu
0.8892 0.7500 0.1250 Cu

NbNiSe3 PBE-GGA relaxed; E above lowest polymorph = 980 meV/atom; calculated density = 5.067 g/cm³; final energy = -4.855 eV per atom; DOS at the Fermi energy = 1.387 states/eV per atom
1.0
5.0305 0.0000 0.0000
0.0000 5.0305 0.0000
0.0000 0.0000 5.0305
Nb Ni Se
1 1 3
direct
0.0000 0.0000 0.0000 Nb
0.5000 0.5000 0.5000 Ni
0.0000 0.0000 0.5000 Se
0.0000 0.5000 0.0000 Se
0.5000 0.0000 0.0000 Se

CsGeSb PBE-GGA relaxed; calculated density = 5.432 g/cm³; final energy = -3.305 eV per atom; DOS at the Fermi energy = 0.462 states/eV per atom
1.0
3.8179 0.0000 0.0000
0.0000 3.8179 0.0000
0.0000 0.0000 13.7297
Cs Ge Sb
2 2 2
direct
0.0000 0.0000 0.0000 Cs
0.5000 0.5000 0.5000 Cs
0.0000 0.0000 0.7013 Ge
0.5000 0.5000 0.2013 Ge
0.0000 0.0000 0.2877 Sb
0.5000 0.5000 0.7877 Sb

LiYCoPt2 PBE-GGA relaxed; calculated formation energy = 4.288 eV/f.u.; calculated density = 7.013 g/cm³; final energy = -4.656 eV per atom; DOS at the Fermi energy = 0.561 states/eV per atom
1.0
5.1803 0.0000 0.0000
0.0000 5.1803 0.0000
0.0000 0.0000 4.8086
Li Y Co Pt
1 1 1 2
direct
0.0000 0.0000 0.0000 Li
0.5000 0.5000 0.5000 Y
0.5000 0.5000 0.0000 Co
0.0000 0.5000 0.5000 Pt
0.5000 0.0000 0.5000 Pt

CePa2Pb PBE-GGA relaxed; E above lowest polymorph = 204 meV/atom; calculated formation energy = 0.734 eV/f.u.; calculated density = 12.331 g/cm³; final energy = -6.975 eV per atom; DOS at the Fermi energy = 2.646 states/eV per atom
1.0
4.0534 0.0000 0.0000
0.0000 4.0534 0.0000
0.0000 0.0000 6.6337
Ce Pa Pb
1 2 1
direct
0.0000 0.0000 0.0000 Ce
0.5000 0.5000 0.2598 Pa
0.5000 0.5000 0.7402 Pa
0.0000 0.0000 0.5000 Pb

SrAg2RhI PBE-GGA relaxed; calculated density = 5.212 g/cm³; final energy = -2.435 eV per atom; DOS at the Fermi energy = 0.731 states/eV per atom
1.0
5.2703 0.0000 0.0000
0.0000 5.2703 0.0000
0.0000 0.0000 6.1152
Sr Ag Rh I
1 2 1 1
direct
0.0000 0.0000 0.0000 Sr
0.0000 0.5000 0.5000 Ag
0.5000 0.0000 0.5000 Ag
0.5000 0.5000 0.0000 Rh
0.0000 0.0000 0.5000 I